No. 1
VASP calculation (PBE) on a relaxed structure of Pm6Dy5Ho.

Unit cell a=5.0925 b=10.1217 c=9.5069 alpha=122.16 beta=105.53 gamma=90.00
Positions (direct):
Dy  0.6666  0.1666  0.3332
Dy  0.6667  0.6667  0.3333
Dy  0.3333  0.3333  0.6667
Dy  0.3334  0.8334  0.6668
Dy  0.0000  0.5000  0.0000
Pm  0.8333  0.0832  0.6667
Pm  0.1666  0.4165  0.3333
Pm  0.5000  0.7503  0.0000
Pm  0.5000  0.2497  0.0000
Pm  0.1667  0.9168  0.3333
Pm  0.8334  0.5835  0.6667
Ho  0.0000  0.0000  0.0000

SG   Immm
Raw total energy   -55.9 eV for the cell shown

***

No. 2
VASP calculation (PBE) on a relaxed structure of PmDy3Ho2.

Unit cell a=3.6328 b=11.2895 c=11.1289 alpha=120.46 beta=99.39 gamma=90.00
Positions (direct):
Pm  0.3889  0.0135  0.7778
Pm  0.6111  0.9865  0.2222
Dy  0.6119  0.4865  0.2238
Dy  0.3881  0.5135  0.7762
Dy  0.2783  0.1547  0.5566
Dy  0.7217  0.8453  0.4434
Dy  0.9449  0.3220  0.8899
Dy  0.0551  0.6780  0.1101
Ho  0.0565  0.1837  0.1131
Ho  0.2772  0.6508  0.5543
Ho  0.7228  0.3492  0.4457
Ho  0.9435  0.8163  0.8869

Energy above the lowest structure with this stoichiometry   15 meV/atom
SG   C2/m
Raw total energy   -55.3 eV for the cell shown

***

| no. | total magnetic moment (μB per cell) | DFT formation energy (eV per atom) |
| --- | --- | --- |
| 1 | 0.00 | 0.015 |
| 2 | 0.00 | 0.011 |